The following is a DFT calculation (PBE) of an optimized crystal structure of CsZnBi3.

```
CsZnBi3
1.0
5.662 0.000 0.000
0.000 5.662 0.000
0.000 0.000 5.662
Cs Bi Zn
1 3 1
Cartesian
2.831 2.831 2.831
2.831 0.000 0.000
0.000 2.831 0.000
0.000 0.000 2.831
0.000 0.000 0.000
```

As for the relative energy among the computed polymorphs: 0.200 eV/atom. Its formation energy is 0.112 eV/atom.